(one)
Here is CsTaP2S after structural relaxation from Alexandria. Energies are from PBE.

Lattice parameters (Å, degrees): 5.2716 5.2716 4.9909 90.00 90.00 90.00
Sites, in units of the cell vectors:
Cs 0.0000 0.0000 0.0000
P 0.0000 0.5000 0.0000
P 0.5000 0.0000 0.0000
S 0.0000 0.0000 0.5000
Ta 0.5000 0.5000 0.5000

---

(two)
Here is CsTaP2S after structural relaxation from Alexandria. Energies are from PBE.

Lattice parameters (Å, degrees): 4.9637 4.9637 4.9830 90.00 90.00 90.00
Each line ends with the local moment (μB).
Sites, in units of the cell vectors:
Cs 0.5000 0.5000 0.5000  0.01
P 0.0000 0.5000 0.0000  0.11
P 0.5000 0.0000 0.0000  0.11
S 0.0000 0.0000 0.5000  0.04
Ta 0.0000 0.0000 0.0000  -0.03

---

What should be chosen as the least stable of them? Choose (one).

---

(one)
Here is CsTcP2S after structural relaxation from Alexandria. Energies are from PBE.

Lattice parameters (Å, degrees): 4.6617 4.6617 5.2958 90.00 90.00 90.00
Sites, in units of the cell vectors:
Cs 0.5000 0.5000 0.5000
P 0.0000 0.5000 0.0000
P 0.5000 0.0000 0.0000
S 0.0000 0.0000 0.5000
Tc 0.0000 0.0000 0.0000

---

(two)
Here is CsTcP2S after structural relaxation from Alexandria. Energies are from PBE.

Lattice parameters (Å, degrees): 5.5455 5.5455 5.2160 90.00 90.00 90.00
Each line ends with the local moment (μB).
Sites, in units of the cell vectors:
Cs 0.0000 0.0000 0.0000  0.01
P 0.0000 0.5000 0.0000  -0.27
P 0.5000 0.0000 0.0000  -0.27
S 0.0000 0.0000 0.5000  -0.09
Tc 0.5000 0.5000 0.5000  3.93

---

What should be chosen as the least stable of them? Choose (two).

---

(one)
Here is CsTiP2S8 after structural relaxation from Alexandria. Energies are from PBE.

Lattice parameters (Å, degrees): 6.0475 6.0475 9.9880 90.00 90.00 120.00
Sites, in units of the cell vectors:
Cs 0.0000 0.0000 0.0000
Ti 0.0000 0.0000 0.5000
P 0.6667 0.3333 0.3044
P 0.3333 0.6667 0.6956
S 0.3333 0.6667 0.8956
S 0.3378 0.3353 0.3651
S 0.6647 0.0025 0.3651
S 0.6667 0.3333 0.1044
S 0.3353 0.9975 0.6349
S 0.6622 0.6647 0.6349
S 0.0025 0.3378 0.6349
S 0.9975 0.6622 0.3651

---

(two)
Here is CsTiP2S8 after structural relaxation from Alexandria. Energies are from PBE.

Lattice parameters (Å, degrees): 7.3207 11.6068 18.2198 98.92 90.00 108.38
Sites, in units of the cell vectors:
Cs 0.1008 0.8044 0.3326
Cs 0.0116 0.5152 0.6223
Cs 0.5036 0.5152 0.1223
Cs 0.7036 0.8044 0.8326
Ti 0.3579 0.0007 0.1014
Ti 0.2831 0.2895 0.8504
Ti 0.6428 0.0007 0.6014
Ti 0.0064 0.2895 0.3504
P 0.7031 0.1432 0.2166
P 0.8764 0.1531 0.4848
P 0.2767 0.1531 0.9848
P 0.6191 0.7253 0.5952
P 0.1062 0.7253 0.0952
P 0.3813 0.5254 0.3605
P 0.4401 0.1432 0.7166
P 0.1441 0.5254 0.8605
S 0.3985 0.5134 0.9019
S 0.5090 0.6705 0.3141
S 0.7451 0.6723 0.4922
S 0.1149 0.5134 0.4019
S 0.6494 0.0665 0.7358
S 0.6690 0.9829 0.4674
S 0.0464 0.5898 0.1534
S 0.8463 0.8792 0.6355
S 0.9272 0.6723 0.9922
S 0.3259 0.3507 0.3006
S 0.5177 0.3291 0.7554
S 0.7048 0.0963 0.1036
S 0.4170 0.0665 0.2358
S 0.1245 0.1698 0.4286
S 0.8114 0.3291 0.2554
S 0.4041 0.7959 0.5718
S 0.0329 0.8792 0.1355
S 0.3139 0.9829 0.9674
S 0.2050 0.0828 0.7783
S 0.5075 0.2792 0.9475
S 0.5668 0.5028 0.4469
S 0.1614 0.6705 0.8141
S 0.9360 0.5028 0.9469
S 0.7716 0.2792 0.4475
S 0.9272 0.1817 0.5977
S 0.5434 0.5898 0.6534
S 0.3915 0.0963 0.6036
S 0.0249 0.3507 0.8006
S 0.0453 0.1698 0.9286
S 0.8778 0.0828 0.2783
S 0.3918 0.7959 0.0718
S 0.2545 0.1817 0.0977

---

What should be chosen as the least stable of them? Choose (one).

---

(one)
Here is CsTiP2S after structural relaxation from Alexandria. Energies are from PBE.

Lattice parameters (Å, degrees): 4.8935 4.8935 4.9639 90.00 90.00 90.00
Sites, in units of the cell vectors:
Cs 0.5000 0.5000 0.5000
P 0.0000 0.5000 0.0000
P 0.5000 0.0000 0.0000
S 0.0000 0.0000 0.5000
Ti 0.0000 0.0000 0.0000

---

(two)
Here is CsTiP2S after structural relaxation from Alexandria. Energies are from PBE.

Lattice parameters (Å, degrees): 5.3736 5.3736 5.1370 90.00 90.00 90.00
Each line ends with the local moment (μB).
Sites, in units of the cell vectors:
Cs 0.0000 0.0000 0.0000  0.01
P 0.0000 0.5000 0.0000  0.02
P 0.5000 0.0000 0.0000  0.02
S 0.0000 0.0000 0.5000  0.03
Ti 0.5000 0.5000 0.5000  -0.23

---

What should be chosen as the least stable of them? Choose (two).

---

(one)
Here is CsTiPS2 after structural relaxation from Alexandria. Energies are from PBE.

Lattice parameters (Å, degrees): 5.2077 5.2077 5.5750 90.00 90.00 90.00
Each line ends with the local moment (μB).
Sites, in units of the cell vectors:
Cs 0.0000 0.0000 0.0000  0.00
P 0.0000 0.0000 0.5000  -0.12
S 0.0000 0.5000 0.0000  -0.02
S 0.5000 0.0000 0.0000  -0.02
Ti 0.5000 0.5000 0.5000  -0.03

---

(two)
Here is CsTiPS2 after structural relaxation from Alexandria. Energies are from PBE.

Lattice parameters (Å, degrees): 4.9196 4.9196 4.9159 90.00 90.00 90.00
Each line ends with the local moment (μB).
Sites, in units of the cell vectors:
Cs 0.5000 0.5000 0.5000  0.02
P 0.0000 0.0000 0.5000  0.26
S 0.0000 0.5000 0.0000  0.05
S 0.5000 0.0000 0.0000  0.05
Ti 0.0000 0.0000 0.0000  -0.06

---

What should be chosen as the least stable of them? Choose (one).

---

(one)
Here is CsP2WS after structural relaxation from Alexandria. Energies are from PBE.

Lattice parameters (Å, degrees): 4.8148 4.8148 4.9844 90.00 90.00 90.00
Sites, in units of the cell vectors:
Cs 0.5000 0.5000 0.5000
P 0.0000 0.5000 0.0000
P 0.5000 0.0000 0.0000
S 0.0000 0.0000 0.5000
W 0.0000 0.0000 0.0000

---

(two)
Here is CsP2WS after structural relaxation from Alexandria. Energies are from PBE.

Lattice parameters (Å, degrees): 5.4272 5.4272 5.1414 90.00 90.00 90.00
Each line ends with the local moment (μB).
Sites, in units of the cell vectors:
Cs 0.0000 0.0000 0.0000  -0.02
P 0.0000 0.5000 0.0000  -0.34
P 0.5000 0.0000 0.0000  -0.34
S 0.0000 0.0000 0.5000  -0.17
W 0.5000 0.5000 0.5000  3.17

---

What should be chosen as the least stable of them? Choose (two).